K2NiPbO4, optimized geometry, DFT PBE+U; volume = 139 Å³/f.u.; magnetic moment = 2.0 μB per cell; VASP energy = -4.69 eV per atom
1.0
4.037 -3.810 0.000
4.037 3.810 0.000
-4.008 0.000 4.509
K Ni Pb O
2 1 1 4
direct
0.000 0.000 0.000
0.760 0.240 0.500
0.235 0.765 0.500
0.481 0.519 0.000
0.154 0.521 0.089
0.343 0.147 0.586
0.479 0.846 0.911
0.853 0.657 0.414